# NiAsAu, relaxed, DFT PBE
data_NiAsAu
_chemical_formula_sum 'Ni4 As4 Au4'
_cell_length_a 5.902
_cell_length_b 5.902
_cell_length_c 5.902
_cell_angle_alpha 90.00
_cell_angle_beta 90.00
_cell_angle_gamma 90.00
_space_group_name_H-M_alt 'F -4 3 m'
_space_group_IT_number 216
_space_group_name_Hall 'F -4 2 3'
loop_
_atom_site_label
_atom_site_fract_x
_atom_site_fract_y
_atom_site_fract_z
Ni1 0.000 0.000 0.000
As1 0.250 0.250 0.750
Au1 0.250 0.250 0.250
# ΔE_f, eV/atom: 0.040
# Offset from the most stable computed form, kJ/mol of atoms: 12.0
# Total energy, eV per atom: -4.529

***

# NiAsAu, relaxed, DFT PBE
data_NiAsAu
_chemical_formula_sum 'Ni1 As1 Au1'
_cell_length_a 3.657
_cell_length_b 3.788
_cell_length_c 4.707
_cell_angle_alpha 66.50
_cell_angle_beta 67.21
_cell_angle_gamma 61.26
_space_group_name_H-M_alt 'P 1'
_space_group_IT_number 1
_space_group_name_Hall 'P 1'
loop_
_atom_site_label
_atom_site_fract_x
_atom_site_fract_y
_atom_site_fract_z
Ni1 0.000 0.000 0.000
As1 0.257 0.273 0.214
Au1 0.793 0.771 0.641
# ΔE_f, eV/atom: -0.017
# Offset from the most stable computed form, kJ/mol of atoms: 6.5
# Total energy, eV per atom: -4.586